# 1
# Ce3Ge13Ir4 (PBE-GGA, relaxed)
data_Ce3Ge13Ir4
_chemical_formula_sum 'Ce6 Ge26 Ir8'
_cell_length_a 9.0917
_cell_length_b 9.0917
_cell_length_c 9.0917
_cell_angle_alpha 90.00
_cell_angle_beta 90.00
_cell_angle_gamma 90.00
_symmetry_space_group_name_H-M 'P m -3 n'
_symmetry_Int_Tables_number 223
_symmetry_space_group_name_Hall '-P 4n 2 3'
loop_
_atom_site_label
_atom_site_type_symbol
_atom_site_fract_x
_atom_site_fract_y
_atom_site_fract_z
_atom_site_occupancy
Ce1 Ce 0.0000 0.2500 0.5000 1
Ge1 Ge 0.0000 0.0000 0.0000 1
Ge2 Ge 0.0000 0.3092 0.1453 1
Ir1 Ir 0.2500 0.2500 0.2500 1
# - Total magnetization: 0.90 μB per formula unit
# - Energy relative to the elements: -0.524 eV per atom



# 2
# CaScH2 (PBE-GGA, relaxed)
data_CaScH2
_chemical_formula_sum 'Ca4 Sc4 H8'
_cell_length_a 6.1372
_cell_length_b 6.1372
_cell_length_c 6.1372
_cell_angle_alpha 90.00
_cell_angle_beta 90.00
_cell_angle_gamma 90.00
_symmetry_space_group_name_H-M 'F m -3 m'
_symmetry_Int_Tables_number 225
_symmetry_space_group_name_Hall '-F 4 2 3'
loop_
_atom_site_label
_atom_site_type_symbol
_atom_site_fract_x
_atom_site_fract_y
_atom_site_fract_z
_atom_site_occupancy
Ca1 Ca 0.0000 0.0000 0.0000 1
Sc1 Sc 0.0000 0.0000 0.5000 1
H1 H 0.2500 0.2500 0.2500 1
# - Total magnetization: 2.08 μB per formula unit
# - Energy above the lowest structure with this stoichiometry: 581 meV/atom